This record from Alexandria via LeMat-Bulk describes an optimized crystal structure of Ta2CuNi. The functional is GGA-PBE.

a b c (Å): 2.7695 3.8362 5.5566
angles (deg): 90.00 90.57 90.00
Last column: nearest neighbours and their distance in Å.
Space group P2/m (No. 10)
Unique sites:
Ta 0.0022 0.0000 0.2543 x2  4 Ni 2.72-2.74, 4 Ta 2.73-2.83, 4 Cu 2.75-2.76
Cu 0.5000 0.5000 0.0000 x1  8 Ta 2.75-2.76, 2 Cu 2.77, 2 Ni 2.78
Ni 0.5000 0.5000 0.5000 x1  8 Ta 2.72-2.74, 2 Ni 2.77, 2 Cu 2.78

**VASP energy**: -8.413 eV per atom
**Calculated volume**: 59.0 Å³ per cell
**Energy above the lowest structure with this stoichiometry**: 20 kJ/mol of formula units
**Formation enthalpy at 0 K**: -1.7 kJ/mol of atoms

***

This record from Alexandria via LeMat-Bulk describes an optimized crystal structure of Tb2PmNi. The functional is GGA-PBE.

a b c (Å): 3.8374 3.8374 26.9167
angles (deg): 90.00 90.00 120.00
Last column: nearest neighbours and their distance in Å.
Space group R3m (No. 160, hexagonal axes)
Unique sites:
Tb 0.0000 0.0000 0.0000 x3  3 Ni 2.72
Tb 0.0000 0.0000 0.2169 x3  3 Ni 2.70
Pm 0.0000 0.0000 0.4438 x3  6 Tb 3.62-3.71, 6 Pm 3.84
Ni 0.0000 0.0000 0.6077 x3  6 Tb 2.70-2.72

**VASP energy**: -5.054 eV per atom
**Calculated volume**: 343.3 Å³ per cell
**Energy above the lowest structure with this stoichiometry**: 44 kJ/mol of formula units
**Formation enthalpy at 0 K**: -10.2 kJ/mol of atoms

***

What is the VASP energy in the second record? -5.054 eV per atom

***

calculated volume of number 1 (Ta2CuNi)? 59.0 Å³ per cell